(1)
! PBE LuPaNO, relaxed; values from VASP
! Space group   Pmc2_1 (26)
&SYSTEM
  ibrav = 0, nat = 8, ntyp = 4
/
ATOMIC_SPECIES
Lu 174.97 Lu.upf
Pa 231.04 Pa.upf
N 14.01 N.upf
O 16.00 O.upf
ATOMIC_POSITIONS crystal
Lu 0.000 0.167 0.000
Lu 0.000 0.833 0.500
Pa 0.500 0.346 0.500
Pa 0.500 0.654 0.000
N 0.000 0.153 0.498
N 0.000 0.847 0.998
O 0.500 0.299 0.000
O 0.500 0.701 0.500
CELL_PARAMETERS angstrom
3.894 0.000 0.000
0.000 6.824 0.000
0.000 0.000 5.061

(2)
! PBE LuPaNO, relaxed; values from VASP
! Space group   P4/nmm (129)
&SYSTEM
  ibrav = 0, nat = 8, ntyp = 4
/
ATOMIC_SPECIES
Lu 174.97 Lu.upf
Pa 231.04 Pa.upf
N 14.01 N.upf
O 16.00 O.upf
ATOMIC_POSITIONS crystal
Lu 0.250 0.250 0.021
Lu 0.750 0.750 0.979
Pa 0.250 0.750 0.500
Pa 0.750 0.250 0.500
N 0.250 0.250 0.369
N 0.750 0.750 0.631
O 0.250 0.750 0.000
O 0.750 0.250 0.000
CELL_PARAMETERS angstrom
4.560 0.000 0.000
0.000 4.560 0.000
0.000 0.000 6.243

(3)
! PBE LuPaNO, relaxed; values from VASP
! Space group   P4/nmm (129)
&SYSTEM
  ibrav = 0, nat = 8, ntyp = 4
/
ATOMIC_SPECIES
Lu 174.97 Lu.upf
Pa 231.04 Pa.upf
N 14.01 N.upf
O 16.00 O.upf
ATOMIC_POSITIONS crystal
Lu 0.250 0.750 0.000
Lu 0.750 0.250 0.000
Pa 0.250 0.250 0.341
Pa 0.750 0.750 0.659
N 0.250 0.250 0.825
N 0.750 0.750 0.175
O 0.250 0.750 0.500
O 0.750 0.250 0.500
CELL_PARAMETERS angstrom
3.903 0.000 0.000
0.000 3.903 0.000
0.000 0.000 8.365

no.,E (eV per atom)
1,-8.39
2,-8.22
3,-7.79